Entry 1:
LiPmZnPt: relaxed, GGA-PBE.

It has space group F-43m (No. 216), with a = 6.725 Å, b = 6.725 Å, c = 6.725 Å, α = 90.00°, β = 90.00° and γ = 90.00°. The distinct sites, in fractional coordinates, are Li at (0.000, 0.000, 0.000), Pm at (0.250, 0.250, 0.750), Zn at (0.250, 0.250, 0.250) and Pt at (0.000, 0.000, 0.500).

For the formation energy, the calculation gives -0.57 eV/atom. The value obtained for the density is 9.01 g/cm³. For the magnetic moment, the calculation gives 0.00 Bohr magnetons per cell.

---

Entry 2:
Rb2TbCe2Se6: relaxed, GGA-PBE.

It has space group C2/m (No. 12), with a = 7.412 Å, b = 12.817 Å, c = 8.502 Å, α = 90.00°, β = 106.79° and γ = 90.00°. The distinct sites, in fractional coordinates, are Rb at (0.000, 0.167, 0.000), Tb at (0.000, 0.000, 0.500), Ce at (0.000, 0.334, 0.500), Se at (0.229, 0.166, 0.692) and Se at (0.234, 0.500, 0.692).

The value obtained for the density is 4.66 g/cm³. For the uncorrected formation energy, the calculation gives -1.72 eV/atom. For the magnetic moment, the calculation gives 2.04 Bohr magnetons per cell.

---

Entry 3:
PaMoW: relaxed, GGA-PBE.

It has space group I4mm (No. 107), with a = 3.178 Å, b = 3.178 Å, c = 11.512 Å, α = 90.00°, β = 90.00° and γ = 90.00°. The distinct sites, in fractional coordinates, are Pa at (0.000, 0.000, 0.000), Mo at (0.000, 0.000, 0.686) and W at (0.000, 0.000, 0.310).

As for the distance to the lowest polymorph of the same formula: 0.000 eV/atom. For the formation energy, the calculation gives 0.23 eV/atom. The value obtained for the density is 14.59 g/cm³. For the magnetic moment, the calculation gives 0.00 Bohr magnetons per cell.

---

Entry 4:
HfTeIr: relaxed, GGA-PBE.

It has space group P2_1 (No. 4), with a = 3.176 Å, b = 4.529 Å, c = 10.354 Å, α = 90.00°, β = 98.32° and γ = 90.00°. The distinct sites, in fractional coordinates, are Hf at (0.063, 0.000, 0.134), Te at (0.340, 0.829, 0.659) and Ir at (0.458, 0.024, 0.911).

As for the distance to the lowest polymorph of the same formula: 0.013 eV/atom. The value obtained for the density is 11.23 g/cm³. For the uncorrected formation energy, the calculation gives -0.70 eV/atom. For the magnetic moment, the calculation gives 0.00 Bohr magnetons per cell.

---

Which of these has the highest magnetic moment? Rb2TbCe2Se6

---

Which of these has the highest magnetic moment? Rb2TbCe2Se6